(1)
A plane-wave DFT calculation with PBE-GGA was carried out for a relaxed structure of HgHS.

As for the crystal system: monoclinic. The energy above the most stable polymorph in this dataset comes out at 93 meV per atom.

Cell and atoms, written as POSCAR:
```
HgHS
1.0
-0.766 -0.745 4.181
3.027 -2.266 -2.076
6.246 5.601 2.143
Hg H S
2 2 2
direct
0.843 0.685 0.337
0.157 0.315 0.663
0.451 0.902 0.013
0.549 0.098 0.987
0.822 0.643 0.702
0.178 0.357 0.298
```

---

(2)
A plane-wave DFT calculation with PBE-GGA was carried out for a relaxed structure of KTl4Au.

As for the crystal system: orthorhombic. The energy above the most stable polymorph in this dataset comes out at 0 meV per atom. As for the calculated formation energy: -0.12 eV/atom.

Cell and atoms, written as POSCAR:
```
KTl4Au
1.0
4.396 0.000 0.000
0.000 8.787 0.000
0.000 0.000 9.640
K Tl Au
2 8 2
direct
0.000 0.599 0.750
0.000 0.401 0.250
0.000 0.000 0.500
0.000 0.000 0.000
0.500 0.930 0.750
0.500 0.070 0.250
0.500 0.694 0.058
0.500 0.306 0.942
0.500 0.694 0.442
0.500 0.306 0.558
0.000 0.208 0.750
0.000 0.792 0.250
```

---

(3)
A plane-wave DFT calculation with PBE-GGA was carried out for a relaxed structure of Tm4Ga3Co.

As for the crystal system: orthorhombic. As for the calculated formation energy: -0.51 eV/atom.

Cell and atoms, written as POSCAR:
```
Tm4Ga3Co
1.0
-0.299 2.866 2.510
0.791 -2.706 3.183
10.502 1.937 -0.963
Tm Ga Co
4 3 1
direct
0.500 0.500 0.336
0.000 0.500 0.873
0.000 0.000 0.140
0.500 0.000 0.653
0.000 0.500 0.576
0.000 0.000 0.425
0.500 0.000 0.933
0.500 0.500 0.065
```

---

(4)
A plane-wave DFT calculation with PBE-GGA was carried out for a relaxed structure of LiHgPd.

As for the crystal system: tetragonal. The energy above the most stable polymorph in this dataset comes out at 1 meV per atom. As for the calculated formation energy: -0.35 eV/atom.

Cell and atoms, written as POSCAR:
```
LiHgPd
1.0
-2.007 -2.317 1.187
1.531 0.162 2.904
-2.702 4.324 -0.677
Hg Pd Li
1 1 1
direct
0.279 0.279 0.559
0.965 0.965 0.929
0.606 0.606 0.212
```

---

(5)
A plane-wave DFT calculation with PBE-GGA was carried out for a relaxed structure of Ac15Y4Er.

As for the crystal system: tetragonal. As for the calculated formation energy: 0.03 eV/atom.

Cell and atoms, written as POSCAR:
```
Ac15Y4Er
1.0
-0.281 -2.633 4.822
-4.552 -2.592 -1.681
15.301 -20.270 -10.179
Ac Y Er
15 4 1
direct
0.500 0.500 0.000
0.500 0.500 0.200
0.500 0.500 0.400
0.500 0.500 0.600
0.500 0.500 0.800
0.500 0.000 0.099
0.500 0.000 0.300
0.500 0.000 0.500
0.500 0.000 0.700
0.500 0.000 0.901
0.000 0.500 0.099
0.000 0.500 0.300
0.000 0.500 0.500
0.000 0.500 0.700
0.000 0.500 0.901
0.000 0.000 0.200
0.000 0.000 0.400
0.000 0.000 0.600
0.000 0.000 0.800
0.000 0.000 0.000
```

---

(6)
A plane-wave DFT calculation with PBE-GGA was carried out for a relaxed structure of SmCd4Hg.

As for the crystal system: hexagonal. The energy above the most stable polymorph in this dataset comes out at 0 meV per atom. As for the calculated formation energy: -0.21 eV/atom.

Cell and atoms, written as POSCAR:
```
SmCd4Hg
1.0
5.034 0.000 0.000
-2.517 4.360 0.000
0.000 0.000 6.624
Sm Cd Hg
1 4 1
direct
0.000 0.000 0.500
0.333 0.667 0.252
0.333 0.667 0.748
0.667 0.333 0.252
0.667 0.333 0.748
0.000 0.000 0.000
```

---

(7)
A plane-wave DFT calculation with PBE-GGA was carried out for a relaxed structure of Er5InPt2.

As for the crystal system: tetragonal. As for the calculated formation energy: -0.84 eV/atom.

Cell and atoms, written as POSCAR:
```
Er5InPt2
1.0
-1.138 -7.715 0.207
7.638 -1.156 -1.086
-2.307 4.473 7.036
Er In Pt
10 2 4
direct
0.522 0.704 0.725
0.796 0.978 0.275
0.000 0.000 0.000
0.500 0.500 0.000
0.204 0.022 0.725
0.704 0.204 0.725
0.022 0.522 0.725
0.296 0.796 0.275
0.978 0.478 0.275
0.478 0.296 0.275
0.750 0.750 0.500
0.250 0.250 0.500
0.137 0.363 0.000
0.637 0.137 0.000
0.363 0.863 0.000
0.863 0.637 0.000
```

---

(8)
A plane-wave DFT calculation with PBE-GGA was carried out for a relaxed structure of TiVMo2.

As for the crystal system: cubic. The energy above the most stable polymorph in this dataset comes out at 4 meV per atom. As for the calculated formation energy: -0.08 eV/atom.

Cell and atoms, written as POSCAR:
```
TiVMo2
1.0
-4.307 0.697 -0.637
-1.752 -0.542 -4.010
-2.691 -3.402 -0.788
Mo Ti V
2 1 1
direct
0.250 0.250 0.250
0.750 0.750 0.750
0.500 0.500 0.500
0.000 0.000 0.000
```

---

How do the records compare in Fermi-level density of states? In the order shown, they have 0.3; 4.3; 6.2; 0.7; 21.3; 3.2; 19.2; 5.8 states/eV per cell.